one.
First-principles (PBE) data for KCrW2 after structural relaxation, as listed in Alexandria via LeMat-Bulk.

Properties
Theoretical density   10165 kg/m3

Lattice parameters (Å, degrees): 5.4110 10.2485 2.7030 90.00 90.00 90.00
With the nearest neighbours (Å) after each atom.
Space group Cmmm (No. 65)
One atom of each set of equivalent atoms:
1 K 0.0000 0.0000 0.0000 [2 per cell]  2 K 2.70, 2 Cr 2.71
2 Cr 0.0000 0.5000 0.0000 [2 per cell]  2 Cr 2.70, 2 K 2.71
3 W 0.2500 0.2500 0.5000 [4 per cell]  4 W 2.70-2.71

two.
First-principles (PBE) data for KCrW2 after structural relaxation, as listed in Alexandria via LeMat-Bulk.

Properties
Theoretical density   10048 kg/m3

Lattice parameters (Å, degrees): 3.8437 3.8437 10.2639 90.00 90.00 90.00
With the nearest neighbours (Å) after each atom.
Space group I4/mmm (No. 139)
One atom of each set of equivalent atoms:
1 K 0.0000 0.0000 0.0000 [2 per cell]  4 Cr 2.72
2 Cr 0.0000 0.0000 0.5000 [2 per cell]  4 K 2.72
3 W 0.0000 0.5000 0.2500 [4 per cell]  4 W 2.72

The winner here is one, beating the second structure by 135 meV/atom.

one.
First-principles (PBE) data for KCrW2 after structural relaxation, as listed in Alexandria via LeMat-Bulk.

Properties
Theoretical density   10491 kg/m3

Lattice parameters (Å, degrees): 3.0723 4.5635 10.3590 90.00 90.00 90.00
With the nearest neighbours (Å) after each atom.
Space group Cmmm (No. 65)
One atom of each set of equivalent atoms:
1 K 0.0000 0.0000 0.0000 [2 per cell]  6 K 2.75-3.07
2 Cr 0.0000 0.0000 0.5000 [2 per cell]  4 W 2.54, 4 Cr 2.75
3 W 0.0000 0.5000 0.3046 [4 per cell]  2 Cr 2.54, 4 W 2.75

two.
First-principles (PBE) data for KCrW2 after structural relaxation, as listed in Alexandria via LeMat-Bulk.

Properties
Theoretical density   10196 kg/m3

Lattice parameters (Å, degrees): 5.4470 10.5046 2.7288 90.00 106.85 90.00
With the nearest neighbours (Å) after each atom.
Space group C2/m (No. 12)
One atom of each set of equivalent atoms:
1 K 0.0000 0.0000 0.0000 [2 per cell]  2 Cr 2.72, 2 K 2.73
2 Cr 0.0000 0.5000 0.0000 [2 per cell]  2 K 2.72, 2 Cr 2.73
3 W 0.2500 0.2500 0.5000 [4 per cell]  4 W 2.72-2.73

three.
First-principles (PBE) data for KCrW2 after structural relaxation, as listed in Alexandria via LeMat-Bulk.

Properties
Theoretical density   8668 kg/m3

Lattice parameters (Å, degrees): 2.8578 3.6712 8.3765 90.00 90.00 90.00
With the nearest neighbours (Å) after each atom.
Space group Pmmm (No. 47)
One atom of each set of equivalent atoms:
1 K 0.0000 0.0000 0.0000 [1 per cell]  2 K 2.86
2 Cr 0.0000 0.0000 0.5000 [1 per cell]  8 W 2.62, 2 Cr 2.86
3 W 0.5000 0.5000 0.3556 [2 per cell]  1 W 2.42, 4 Cr 2.62

four.
First-principles (PBE) data for KCrW2 after structural relaxation, as listed in Alexandria via LeMat-Bulk.

Properties
Theoretical density   10226 kg/m3

Lattice parameters (Å, degrees): 2.9159 2.9159 30.3530 90.00 90.00 120.00
With the nearest neighbours (Å) after each atom.
Space group R-3m (No. 166, hexagonal axes)
One atom of each set of equivalent atoms:
1 K 0.0000 0.0000 0.0000 [3 per cell]  6 K 2.92
2 Cr 0.0000 0.0000 0.5000 [3 per cell]  6 W 2.56
3 W 0.0000 0.0000 0.2300 [6 per cell]  3 Cr 2.56

The winner here is one, beating the second structure by 145 meV/atom.

one.
First-principles (PBE) data for KCrW2 after structural relaxation, as listed in Alexandria via LeMat-Bulk.

Properties
Theoretical density   8645 kg/m3

Lattice parameters (Å, degrees): 3.1656 3.1656 8.7938 90.00 90.00 90.00
With the nearest neighbours (Å) after each atom.
Space group P4mm (No. 99)
One atom of each set of equivalent atoms:
1 K 0.0000 0.0000 0.0000 [1 per cell]  4 K 3.17
2 Cr 0.5000 0.5000 0.6717 [1 per cell]  5 W 2.62-2.80
3 W 0.0000 0.0000 0.5172 [1 per cell]  4 Cr 2.62, 4 W 2.66
4 W 0.5000 0.5000 0.3529 [1 per cell]  4 W 2.66, 1 Cr 2.80

two.
First-principles (PBE) data for KCrW2 after structural relaxation, as listed in Alexandria via LeMat-Bulk.

Properties
Theoretical density   8613 kg/m3

Lattice parameters (Å, degrees): 2.8098 3.8651 8.2065 90.00 97.06 90.00
With the nearest neighbours (Å) after each atom.
Space group P2/m (No. 10)
One atom of each set of equivalent atoms:
1 K 0.0000 0.0000 0.0000 [1 per cell]  2 K 2.81
2 Cr 0.5000 0.0000 0.5000 [1 per cell]  4 W 2.50
3 W 0.1733 0.5000 0.6434 [2 per cell]  1 W 2.43, 2 Cr 2.50

The winner here is one, beating the second structure by 55 meV/atom.

one.
First-principles (PBE) data for KCrW2 after structural relaxation, as listed in Alexandria via LeMat-Bulk.

Properties
Theoretical density   8478 kg/m3

Lattice parameters (Å, degrees): 2.7679 4.2899 7.5782 90.00 93.09 90.00
With the nearest neighbours (Å) after each atom.
Space group Pm (No. 6)
One atom of each set of equivalent atoms:
1 K 0.0000 0.0000 0.0000 [1 per cell]  2 K 2.77
2 Cr 0.1215 0.5000 0.6463 [1 per cell]  1 W 2.25
3 W 0.4624 0.0000 0.5199 [1 per cell]  2 Cr 2.55, 4 W 2.67-2.77
4 W 0.8220 0.5000 0.3645 [1 per cell]  1 Cr 2.25

two.
First-principles (PBE) data for KCrW2 after structural relaxation, as listed in Alexandria via LeMat-Bulk.

Properties
Theoretical density   9978 kg/m3

Lattice parameters (Å, degrees): 3.8407 3.8407 5.1759 90.00 90.00 90.00
With the nearest neighbours (Å) after each atom.
Space group P4/mmm (No. 123)
One atom of each set of equivalent atoms:
1 K 0.0000 0.0000 0.0000 [1 per cell]  4 Cr 2.72
2 Cr 0.5000 0.5000 0.0000 [1 per cell]  4 K 2.72
3 W 0.0000 0.5000 0.5000 [2 per cell]  4 W 2.72

The winner here is one, beating the second structure by 787 meV/atom.

one.
First-principles (PBE) data for KCrW2 after structural relaxation, as listed in Alexandria via LeMat-Bulk.

Properties
Theoretical density   9510 kg/m3

Lattice parameters (Å, degrees): 2.9133 2.9133 9.4384 90.00 90.00 90.00
With the nearest neighbours (Å) after each atom.
Space group P4/mmm (No. 123)
One atom of each set of equivalent atoms:
1 K 0.0000 0.0000 0.0000 [1 per cell]  4 K 2.91
2 Cr 0.0000 0.0000 0.5000 [1 per cell]  8 W 2.57
3 W 0.5000 0.5000 0.3378 [2 per cell]  4 Cr 2.57

two.
First-principles (PBE) data for KCrW2 after structural relaxation, as listed in Alexandria via LeMat-Bulk.

Properties
Theoretical density   9940 kg/m3

Lattice parameters (Å, degrees): 2.6534 5.2520 10.9993 90.00 90.00 90.00
With the nearest neighbours (Å) after each atom.
Space group Immm (No. 71)
One atom of each set of equivalent atoms:
1 K 0.0000 0.0000 0.0000 [2 per cell]  2 K 2.65, 4 Cr 2.94
2 Cr 0.0000 0.0000 0.5000 [2 per cell]  2 Cr 2.65, 4 W 2.67, 4 K 2.94
3 W 0.0000 0.5000 0.2101 [4 per cell]  2 W 2.65, 2 Cr 2.67

The winner here is one, beating the second structure by 297 meV/atom.

one.
First-principles (PBE) data for KCrW2 after structural relaxation, as listed in Alexandria via LeMat-Bulk.

Properties
Theoretical density   10532 kg/m3

Lattice parameters (Å, degrees): 6.6140 6.6140 6.6140 90.00 90.00 90.00
With the nearest neighbours (Å) after each atom.
Space group F-43m (No. 216)
One atom of each set of equivalent atoms:
1 K 0.0000 0.0000 0.0000 [4 per cell]  4 Cr 2.86, 4 W 2.86
2 Cr 0.2500 0.2500 0.2500 [4 per cell]  4 W 2.86, 4 K 2.86
3 W 0.0000 0.0000 0.5000 [4 per cell]  4 W 2.86, 4 Cr 2.86
4 W 0.2500 0.2500 0.7500 [4 per cell]  4 K 2.86, 4 W 2.86

two.
First-principles (PBE) data for KCrW2 after structural relaxation, as listed in Alexandria via LeMat-Bulk.

Properties
Theoretical density   11015 kg/m3

Lattice parameters (Å, degrees): 5.1098 5.1098 2.6488 90.00 90.00 90.00
With the nearest neighbours (Å) after each atom.
Space group P4/mmm (No. 123)
One atom of each set of equivalent atoms:
1 K 0.0000 0.0000 0.0000 [1 per cell]  2 K 2.65, 8 W 2.88
2 Cr 0.5000 0.5000 0.0000 [1 per cell]  2 Cr 2.65, 8 W 2.88
3 W 0.0000 0.5000 0.5000 [2 per cell]  2 W 2.65, 4 Cr 2.88, 4 K 2.88

three.
First-principles (PBE) data for KCrW2 after structural relaxation, as listed in Alexandria via LeMat-Bulk.

Properties
Theoretical density   9336 kg/m3

Lattice parameters (Å, degrees): 2.8950 5.6190 10.0329 90.00 90.00 90.00
With the nearest neighbours (Å) after each atom.
Space group Imm2 (No. 44)
One atom of each set of equivalent atoms:
1 K 0.0000 0.0000 0.0000 [2 per cell]  2 K 2.89, 4 W 3.16, 2 Cr 3.21
2 Cr 0.0000 0.5000 0.2147 [2 per cell]  2 W 2.54
3 W 0.0000 0.0000 0.5066 [2 per cell]  2 Cr 2.54, 2 W 2.56
4 W 0.0000 0.5000 0.7957 [2 per cell]  2 W 2.56

The winner here is three, beating the second structure by 103 meV/atom.

one.
First-principles (PBE) data for KCrW2 after structural relaxation, as listed in Alexandria via LeMat-Bulk.

Properties
Theoretical density   11492 kg/m3

Lattice parameters (Å, degrees): 6.4245 6.4245 6.4245 90.00 90.00 90.00
With the nearest neighbours (Å) after each atom.
Space group Fm-3m (No. 225)
One atom of each set of equivalent atoms:
1 K 0.0000 0.0000 0.0000 [4 per cell]  8 W 2.78
2 Cr 0.0000 0.0000 0.5000 [4 per cell]  8 W 2.78
3 W 0.2500 0.2500 0.2500 [8 per cell]  4 Cr 2.78, 4 K 2.78

two.
First-principles (PBE) data for KCrW2 after structural relaxation, as listed in Alexandria via LeMat-Bulk.

Properties
Theoretical density   10306 kg/m3

Lattice parameters (Å, degrees): 3.1177 4.5747 10.3656 90.00 90.00 90.00
With the nearest neighbours (Å) after each atom.
Space group Cmm2 (No. 35)
One atom of each set of equivalent atoms:
1 K 0.0000 0.0000 0.0000 [2 per cell]  4 K 2.77
2 Cr 0.0000 0.5000 0.7082 [2 per cell]  2 W 2.50, 4 Cr 2.77
3 W 0.0000 0.0000 0.5196 [2 per cell]  2 Cr 2.50, 6 W 2.73-2.77
4 W 0.0000 0.5000 0.3035 [2 per cell]  6 W 2.73-2.77

The winner here is two, beating the second structure by 998 meV/atom.

one.
First-principles (PBE) data for KCr2W2 after structural relaxation, as listed in Alexandria via LeMat-Bulk.

Properties
Theoretical density   9678 kg/m3

Lattice parameters (Å, degrees): 8.2630 8.2630 2.5670 90.00 90.00 90.00
With the nearest neighbours (Å) after each atom.
Space group P4/mbm (No. 127)
One atom of each set of equivalent atoms:
1 K 0.0000 0.0000 0.0000 [2 per cell]  2 K 2.57
2 Cr 0.1498 0.3502 0.0000 [4 per cell]  2 Cr 2.57, 6 W 2.69-2.81
3 W 0.1365 0.6365 0.5000 [4 per cell]  2 W 2.57, 6 Cr 2.69-2.81

two.
First-principles (PBE) data for KCr2W2 after structural relaxation, as listed in Alexandria via LeMat-Bulk.

Properties
Theoretical density   8123 kg/m3

Lattice parameters (Å, degrees): 4.0779 4.0779 12.5583 90.00 90.00 90.00
With the nearest neighbours (Å) after each atom.
Space group I4/mmm (No. 139)
One atom of each set of equivalent atoms:
1 K 0.0000 0.0000 0.0000 [2 per cell]  8 Cr 3.36, 8 W 3.74
2 Cr 0.0000 0.0000 0.3627 [4 per cell]  4 W 2.48
3 W 0.0000 0.5000 0.2500 [4 per cell]  4 Cr 2.48

The winner here is one, beating the second structure by 136 meV/atom.